Below is CsHfAg2Cl8 after structural relaxation, with properties calculated at the GGA-PBE level.

## Properties
The density of states at the Fermi level is 3.19 states/eV/f.u. For the calculated total energy, the calculation gives -0.284 Ry per atom. The size of the total moment is 0.000 μB per atom. As for the space-group type: No. 2.

a b c (Å): 6.827 6.699 9.597
angles (deg): 61.82 83.70 85.89
Positions (direct):
1 Cl 0.695 0.791 0.035
2 Cl 0.516 0.783 0.488
3 Cl 0.305 0.209 0.965
4 Cl 0.896 0.302 0.740
5 Cl 0.173 0.799 0.870
6 Cl 0.827 0.201 0.130
7 Ag 0.507 0.614 0.301
8 Ag 0.493 0.386 0.699
9 Cs 0.000 0.000 0.500
10 Cl 0.484 0.217 0.512
11 Hf 0.000 0.000 0.000
12 Cl 0.104 0.698 0.260